# 1
The following is a PBE-GGA calculation of ZnAsW3 after structural relaxation, from the Alexandria database.

Computed properties:
Energy relative to the lowest polymorph listed for this composition in meV per atom: 0
Total energy in eV/atom: -7.32
Crystal system: cubic
Formation enthalpy at 0 K in eV per atom: 1.6382

Cell lengths 4.6076, 4.6076, 4.6076 Å; angles 90.00, 90.00, 90.00 degrees
Positions (direct):
W: 0.0000 0.5000 0.0000
W: 0.5000 0.0000 0.0000
W: 0.0000 0.0000 0.5000
As: 0.0000 0.0000 0.0000
Zn: 0.5000 0.5000 0.5000

=====

# 2
The following is a PBE-GGA calculation of ZnAsW2 after structural relaxation, from the Alexandria database.

Computed properties:
Energy relative to the lowest polymorph listed for this composition in meV per atom: 308
Total energy in eV/atom: -7.43
Crystal system: cubic
Formation enthalpy at 0 K in eV per atom: 0.5229

Cell lengths 4.4907, 4.4907, 4.4907 Å; angles 60.00, 60.00, 60.00 degrees
Positions (direct):
W: 0.2500 0.2500 0.2500
W: 0.0000 0.0000 0.0000
As: 0.5000 0.5000 0.5000
Zn: 0.7500 0.7500 0.7500

=====

# 3
The following is a PBE-GGA calculation of ZnAs2W2 after structural relaxation, from the Alexandria database.

Computed properties:
Energy relative to the lowest polymorph listed for this composition in meV per atom: 165
Total energy in eV/atom: -6.85
Crystal system: tetragonal
Formation enthalpy at 0 K in eV per atom: 0.4508

Cell lengths 5.7274, 5.7274, 5.7274 Å; angles 135.11, 135.11, 65.36 degrees
Positions (direct):
As: 0.6252 0.6252 0.0000
As: 0.3748 0.3748 0.0000
W: 0.2500 0.7500 0.5000
W: 0.7500 0.2500 0.5000
Zn: 0.0000 0.0000 0.0000